Record 1
Below is a relaxed Pm2PrBi crystal, with properties calculated at the PBE-GGA level.

Computed properties:
E above lowest polymorph: 0 meV/atom
energy: -5.002 eV per atom

Lattice parameters (Å, degrees): 4.743 4.708 12.181 90.00 101.22 90.00
Fractional positions:
Pm: 0.563 0.250 0.126
Pm: 0.437 0.750 0.874
Pm: 0.059 0.750 0.117
Pm: 0.941 0.250 0.883
Pr: 0.694 0.750 0.388
Pr: 0.306 0.250 0.612
Bi: 0.168 0.250 0.334
Bi: 0.832 0.750 0.666

Record 2
Below is a relaxed Pm2PrBi crystal, with properties calculated at the PBE-GGA level.

Computed properties:
E above lowest polymorph: 489 meV/atom
energy: -4.512 eV per atom

Lattice parameters (Å, degrees): 4.064 4.064 11.188 79.53 79.53 60.00
Last column: magnetic moment on the atom in μB.
Fractional positions:
Pr: 0.000 0.000 0.000  0.43
Bi: 0.500 0.500 0.500  0.00
Pm: 0.104 0.104 0.689  0.15
Pm: 0.896 0.896 0.311  0.15

Record 3
Below is a relaxed PmPrBi2 crystal, with properties calculated at the PBE-GGA level.

Computed properties:
E above lowest polymorph: 60 meV/atom
energy: -5.213 eV per atom

Lattice parameters (Å, degrees): 4.602 4.602 15.186 90.00 90.00 120.00
Fractional positions:
Pm: 0.667 0.333 0.250
Pm: 0.333 0.667 0.750
Pr: 0.000 0.000 0.500
Pr: 0.000 0.000 0.000
Bi: 0.333 0.667 0.375
Bi: 0.667 0.333 0.875
Bi: 0.667 0.333 0.625
Bi: 0.333 0.667 0.125

Record 4
Below is a relaxed PmPrBi crystal, with properties calculated at the PBE-GGA level.

Computed properties:
E above lowest polymorph: 0 meV/atom
energy: -5.149 eV per atom

Lattice parameters (Å, degrees): 4.651 4.651 9.630 103.97 103.97 90.00
Fractional positions:
Pm: 0.000 0.500 0.000
Pm: 0.500 0.000 0.000
Pr: 0.178 0.178 0.357
Pr: 0.822 0.822 0.643
Bi: 0.363 0.363 0.725
Bi: 0.637 0.637 0.275

Record 5
Below is a relaxed PmPrBi crystal, with properties calculated at the PBE-GGA level.

Computed properties:
E above lowest polymorph: 289 meV/atom
energy: -4.860 eV per atom

Lattice parameters (Å, degrees): 4.545 4.545 11.042 90.00 90.00 90.00
Last column: magnetic moment on the atom in μB.
Fractional positions:
Bi: 0.000 0.500 0.635  0.00
Bi: 0.500 0.000 0.365  0.00
Pr: 0.500 0.000 0.659  0.03
Pr: 0.000 0.500 0.341  0.03
Pm: 0.000 0.500 0.919  0.16
Pm: 0.500 0.000 0.081  0.16

Record 6
Below is a relaxed Pm2PrPuBi4 crystal, with properties calculated at the PBE-GGA level.

Computed properties:
energy: -6.302 eV per atom

Lattice parameters (Å, degrees): 4.589 7.940 7.943 109.45 90.00 90.00
Last column: magnetic moment on the atom in μB.
Fractional positions:
Pm: 0.500 0.000 0.500  -0.04
Pm: 0.000 0.500 0.500  -0.01
Pr: 0.000 0.000 0.000  0.00
Pu: 0.500 0.500 0.000  5.30
Bi: 0.500 0.254 0.251  -0.05
Bi: 0.500 0.746 0.749  -0.05
Bi: 0.000 0.254 0.751  -0.09
Bi: 0.000 0.746 0.249  -0.09

Record 7
Below is a relaxed PmPrPu2Bi4 crystal, with properties calculated at the PBE-GGA level.

Computed properties:
energy: -7.347 eV per atom

Lattice parameters (Å, degrees): 4.573 7.927 7.926 70.55 90.00 90.00
Last column: magnetic moment on the atom in μB.
Fractional positions:
Pm: 0.000 0.500 0.500  -0.05
Pr: 0.500 0.500 0.000  -0.04
Pu: 0.000 0.000 0.000  5.27
Pu: 0.500 0.000 0.500  5.25
Bi: 0.000 0.757 0.746  -0.11
Bi: 0.000 0.243 0.254  -0.11
Bi: 0.500 0.756 0.250  -0.12
Bi: 0.500 0.244 0.750  -0.12

Record 8
Below is a relaxed PmPr2PuBi4 crystal, with properties calculated at the PBE-GGA level.

Computed properties:
energy: -6.311 eV per atom

Lattice parameters (Å, degrees): 4.606 7.968 7.964 109.45 90.00 90.00
Last column: magnetic moment on the atom in μB.
Fractional positions:
Pm: 0.500 0.500 0.000  -0.01
Pr: 0.500 0.000 0.500  0.00
Pr: 0.000 0.500 0.500  -0.03
Pu: 0.000 0.000 0.000  5.29
Bi: 0.500 0.246 0.243  -0.09
Bi: 0.500 0.754 0.757  -0.09
Bi: 0.000 0.250 0.755  -0.05
Bi: 0.000 0.750 0.245  -0.05

Record 9
Below is a relaxed Pm2PrScBi4 crystal, with properties calculated at the PBE-GGA level.

Computed properties:
energy: -5.365 eV per atom

Lattice parameters (Å, degrees): 4.530 7.833 7.840 109.51 90.00 90.00
Fractional positions:
Pm: 0.500 0.000 0.500
Pm: 0.000 0.500 0.500
Pr: 0.000 0.000 0.000
Sc: 0.500 0.500 0.000
Bi: 0.500 0.260 0.246
Bi: 0.500 0.740 0.754
Bi: 0.000 0.265 0.763
Bi: 0.000 0.735 0.237

Record 10
Below is a relaxed PmPr2ScBi4 crystal, with properties calculated at the PBE-GGA level.

Computed properties:
energy: -5.378 eV per atom

Lattice parameters (Å, degrees): 4.545 7.864 7.856 109.53 90.00 90.00
Fractional positions:
Pm: 0.000 0.000 0.000
Pr: 0.500 0.000 0.500
Pr: 0.000 0.500 0.500
Sc: 0.500 0.500 0.000
Bi: 0.500 0.256 0.239
Bi: 0.500 0.744 0.761
Bi: 0.000 0.265 0.768
Bi: 0.000 0.735 0.232

Record 11
Below is a relaxed PmPrSm2Bi4 crystal, with properties calculated at the PBE-GGA level.

Computed properties:
energy: -5.249 eV per atom

Lattice parameters (Å, degrees): 4.587 7.939 7.940 70.53 90.00 90.00
Fractional positions:
Pm: 0.000 0.500 0.500
Pr: 0.500 0.500 0.000
Sm: 0.000 0.000 0.000
Sm: 0.500 0.000 0.500
Bi: 0.000 0.754 0.747
Bi: 0.000 0.246 0.253
Bi: 0.500 0.753 0.251
Bi: 0.500 0.247 0.749

Record 12
Below is a relaxed Pm2PrSmBi4 crystal, with properties calculated at the PBE-GGA level.

Computed properties:
energy: -5.256 eV per atom

Lattice parameters (Å, degrees): 4.592 7.949 7.948 70.53 90.00 90.00
Fractional positions:
Pm: 0.000 0.000 0.000
Pm: 0.500 0.000 0.500
Pr: 0.500 0.500 0.000
Sm: 0.000 0.500 0.500
Bi: 0.000 0.752 0.747
Bi: 0.000 0.248 0.253
Bi: 0.500 0.750 0.252
Bi: 0.500 0.250 0.748

Record 13
Below is a relaxed PmPrSm2Bi5 crystal, with properties calculated at the PBE-GGA level.

Computed properties:
energy: -4.223 eV per atom

Lattice parameters (Å, degrees): 5.582 5.582 12.105 90.00 90.00 90.00
Fractional positions:
Pm: 0.000 0.000 0.000
Pr: 0.000 0.000 0.500
Sm: 0.500 0.500 0.270
Sm: 0.500 0.500 0.730
Bi: 0.000 0.500 0.500
Bi: 0.500 0.000 0.500
Bi: 0.000 0.000 0.755
Bi: 0.000 0.000 0.245
Bi: 0.500 0.500 0.000

Record 14
Below is a relaxed Pm3Pr2SmBi6 crystal, with properties calculated at the PBE-GGA level.

Computed properties:
energy: -5.262 eV per atom

Lattice parameters (Å, degrees): 4.598 9.191 10.274 102.89 102.93 90.00
Fractional positions:
Pm: 0.500 0.500 0.000
Pm: 0.833 0.167 0.665
Pm: 0.167 0.833 0.335
Pr: 0.834 0.667 0.668
Pr: 0.166 0.333 0.332
Sm: 0.500 0.000 0.000
Bi: 0.334 0.920 0.668
Bi: 0.666 0.585 0.332
Bi: 0.666 0.080 0.332
Bi: 0.999 0.248 0.997
Bi: 0.001 0.752 0.003
Bi: 0.334 0.415 0.668

Record 15
Below is a relaxed PmPr2SmBi4 crystal, with properties calculated at the PBE-GGA level.

Computed properties:
energy: -5.265 eV per atom

Lattice parameters (Å, degrees): 4.608 7.974 7.976 70.53 90.00 90.00
Fractional positions:
Pm: 0.000 0.500 0.500
Pr: 0.000 0.000 0.000
Pr: 0.500 0.000 0.500
Sm: 0.500 0.500 0.000
Bi: 0.000 0.745 0.752
Bi: 0.000 0.255 0.248
Bi: 0.500 0.746 0.251
Bi: 0.500 0.254 0.749

Record 16
Below is a relaxed PmPrSnBi crystal, with properties calculated at the PBE-GGA level.

Computed properties:
energy: -4.950 eV per atom

Lattice parameters (Å, degrees): 5.584 5.584 5.584 60.00 60.00 60.00
Fractional positions:
Pr: 0.000 0.000 0.000
Bi: 0.250 0.250 0.250
Sn: 0.750 0.750 0.750
Pm: 0.500 0.500 0.500

Record 17
Below is a relaxed Tb2PmPrBi4 crystal, with properties calculated at the PBE-GGA level.

Computed properties:
energy: -5.202 eV per atom

Lattice parameters (Å, degrees): 4.556 7.880 7.886 70.51 90.00 90.00
Fractional positions:
Tb: 0.000 0.000 0.000
Tb: 0.500 0.000 0.500
Pm: 0.000 0.500 0.500
Pr: 0.500 0.500 0.000
Bi: 0.000 0.758 0.745
Bi: 0.000 0.242 0.255
Bi: 0.500 0.757 0.249
Bi: 0.500 0.243 0.751

Record 18
Below is a relaxed TbPm3Pr2Bi6 crystal, with properties calculated at the PBE-GGA level.

Computed properties:
energy: -5.245 eV per atom

Lattice parameters (Å, degrees): 4.588 9.171 10.252 102.92 102.93 90.00
Fractional positions:
Tb: 0.500 0.000 0.000
Pm: 0.500 0.500 0.000
Pm: 0.832 0.166 0.664
Pm: 0.168 0.834 0.336
Pr: 0.834 0.668 0.668
Pr: 0.166 0.332 0.332
Bi: 0.335 0.921 0.670
Bi: 0.666 0.585 0.332
Bi: 0.665 0.079 0.330
Bi: 0.998 0.245 0.997
Bi: 0.002 0.755 0.003
Bi: 0.334 0.415 0.668

Record 19
Below is a relaxed TbPm2PrBi5 crystal, with properties calculated at the PBE-GGA level.

Computed properties:
energy: -4.222 eV per atom

Lattice parameters (Å, degrees): 5.594 5.594 11.996 90.00 90.00 90.00
Fractional positions:
Tb: 0.000 0.000 0.000
Pm: 0.500 0.500 0.273
Pm: 0.500 0.500 0.727
Pr: 0.000 0.000 0.500
Bi: 0.000 0.500 0.500
Bi: 0.500 0.000 0.500
Bi: 0.000 0.000 0.757
Bi: 0.000 0.000 0.243
Bi: 0.500 0.500 0.000

Record 20
Below is a relaxed TbPm2PrBi4 crystal, with properties calculated at the PBE-GGA level.

Computed properties:
energy: -5.231 eV per atom

Lattice parameters (Å, degrees): 4.577 7.923 7.920 70.53 90.00 90.00
Fractional positions:
Tb: 0.000 0.500 0.500
Pm: 0.000 0.000 0.000
Pm: 0.500 0.000 0.500
Pr: 0.500 0.500 0.000
Bi: 0.000 0.751 0.745
Bi: 0.000 0.249 0.255
Bi: 0.500 0.747 0.255
Bi: 0.500 0.253 0.745

Record 21
Below is a relaxed TbPmPr2Bi5 crystal, with properties calculated at the PBE-GGA level.

Computed properties:
energy: -4.422 eV per atom

Lattice parameters (Å, degrees): 5.448 5.448 12.098 90.00 90.00 90.00
Fractional positions:
Tb: 0.000 0.000 0.500
Pm: 0.000 0.000 0.000
Pr: 0.500 0.500 0.274
Pr: 0.500 0.500 0.726
Bi: 0.000 0.500 0.500
Bi: 0.500 0.000 0.500
Bi: 0.000 0.000 0.752
Bi: 0.000 0.000 0.248
Bi: 0.500 0.500 0.000

Record 22
Below is a relaxed TbPmPr2Bi4 crystal, with properties calculated at the PBE-GGA level.

Computed properties:
energy: -5.240 eV per atom

Lattice parameters (Å, degrees): 4.593 7.946 7.950 70.52 90.00 90.00
Fractional positions:
Tb: 0.000 0.500 0.500
Pm: 0.500 0.500 0.000
Pr: 0.000 0.000 0.000
Pr: 0.500 0.000 0.500
Bi: 0.000 0.744 0.749
Bi: 0.000 0.256 0.251
Bi: 0.500 0.742 0.255
Bi: 0.500 0.258 0.745

Record 23
Below is a relaxed Tb3PmPr2Bi6 crystal, with properties calculated at the PBE-GGA level.

Computed properties:
energy: -5.205 eV per atom

Lattice parameters (Å, degrees): 4.559 9.112 10.185 102.82 102.93 90.00
Fractional positions:
Tb: 0.500 0.500 0.000
Tb: 0.833 0.167 0.666
Tb: 0.167 0.833 0.334
Pm: 0.500 0.000 0.000
Pr: 0.834 0.667 0.667
Pr: 0.166 0.333 0.333
Bi: 0.332 0.923 0.665
Bi: 0.665 0.588 0.329
Bi: 0.668 0.077 0.335
Bi: 0.998 0.253 0.995
Bi: 0.002 0.747 0.005
Bi: 0.335 0.412 0.671

Record 24
Below is a relaxed PmPr2ThBi5 crystal, with properties calculated at the PBE-GGA level.

Computed properties:
energy: -4.568 eV per atom

Lattice parameters (Å, degrees): 5.738 5.738 12.082 90.00 90.00 90.00
Fractional positions:
Pm: 0.000 0.000 0.000
Pr: 0.500 0.500 0.276
Pr: 0.500 0.500 0.724
Th: 0.000 0.000 0.500
Bi: 0.000 0.500 0.500
Bi: 0.500 0.000 0.500
Bi: 0.000 0.000 0.755
Bi: 0.000 0.000 0.245
Bi: 0.500 0.500 0.000

| no. | total moment (Bohr magnetons per cell) | calculated density (g/cm³) |
| --- | --- | --- |
| 1 | 0.000 | 7.964 |
| 2 | 1.477 | 6.789 |
| 3 | 0.000 | 8.391 |
| 4 | 0.000 | 8.395 |
| 5 | 1.073 | 7.205 |
| 6 | 5.117 | 9.193 |
| 7 | 10.211 | 9.867 |
| 8 | 5.103 | 9.078 |
| 9 | 0.000 | 8.306 |
| 10 | 0.000 | 8.205 |
| 11 | 0.000 | 8.665 |
| 12 | 0.000 | 8.604 |
| 13 | 0.000 | 7.183 |
| 14 | 0.000 | 8.551 |
| 15 | 0.000 | 8.492 |
| 16 | 0.004 | 8.274 |
| 17 | 0.000 | 8.958 |
| 18 | 0.000 | 8.642 |
| 19 | 0.000 | 7.232 |
| 20 | 0.000 | 8.744 |
| 21 | 0.000 | 7.541 |
| 22 | 0.000 | 8.631 |
| 23 | 0.000 | 8.924 |
| 24 | 0.000 | 7.112 |